A plane-wave DFT calculation with GGA-PBE was carried out for a relaxed CuTe2Cl crystal.

Output
Formation energy without anion corrections   -98 meV/atom
Space-group type   R-3m (166)
Volume   97.84 Å³/cell

Unit cell a=7.4326 b=7.4326 c=7.4326 alpha=31.21 beta=31.21 gamma=31.21
Fractional positions:
Te 0.0218 0.0218 0.0218
Te 0.4782 0.4782 0.4782
Cu 0.7500 0.7500 0.7500
Cl 0.2500 0.2500 0.2500